Here is a relaxed structure of Ho2TmZn2Ga2 from Alexandria via LeMat-Bulk. Energies are from PBE-GGA.

Cell and atoms, written as POSCAR:
```
Ho2TmZn2Ga2
1.0
2.209 1.276 9.038
-2.209 1.276 9.038
0.000 -2.551 9.038
Ho Tm Zn Ga
2 1 2 2
direct
0.126 0.126 0.126
0.874 0.874 0.874
0.000 0.000 0.000
0.395 0.395 0.395
0.605 0.605 0.605
0.264 0.264 0.264
0.736 0.736 0.736
```

Output
- Formation energy from the elements: -2.706 eV per formula unit
- Energy: -3.562 eV per atom

Here is a relaxed structure of HoUGa4 from Alexandria via LeMat-Bulk. Energies are from PBE-GGA.

Cell and atoms, written as POSCAR:
```
HoUGa4
1.0
0.000 3.896 3.896
3.896 0.000 3.896
3.896 3.896 0.000
Ho U Ga
1 1 4
direct
0.000 0.000 0.000
0.250 0.250 0.250
0.126 0.625 0.625
0.625 0.126 0.625
0.625 0.625 0.126
0.625 0.625 0.625
```

Output
- Formation energy from the elements: -1.572 eV per formula unit
- Energy: -4.924 eV per atom

Here is a relaxed structure of HoUGa2 from Alexandria via LeMat-Bulk. Energies are from PBE-GGA.

Cell and atoms, written as POSCAR:
```
HoUGa2
1.0
1.591 0.919 9.941
-1.591 0.919 9.941
0.000 -1.837 9.941
Ho U Ga
1 1 2
direct
0.000 0.000 0.000
0.500 0.500 0.500
0.251 0.251 0.251
0.749 0.749 0.749
```

Output
- Formation energy from the elements: -0.286 eV per formula unit
- Energy: -5.551 eV per atom

Here is a relaxed structure of HoUGa6 from Alexandria via LeMat-Bulk. Energies are from PBE-GGA.

Cell and atoms, written as POSCAR:
```
HoUGa6
1.0
4.252 0.000 0.000
0.000 4.252 0.000
0.000 0.000 8.540
Ho U Ga
1 1 6
direct
0.000 0.000 0.000
0.000 0.000 0.500
0.000 0.500 0.251
0.000 0.500 0.749
0.500 0.000 0.251
0.500 0.000 0.749
0.500 0.500 0.000
0.500 0.500 0.500
```

Output
- Formation energy from the elements: -3.110 eV per formula unit
- Energy: -4.642 eV per atom

Here is a relaxed structure of HoUGa from Alexandria via LeMat-Bulk. Energies are from PBE-GGA.

Cell and atoms, written as POSCAR:
```
HoUGa
1.0
0.000 4.251 6.252
2.762 0.000 6.252
2.762 4.251 0.000
Ho U Ga
2 2 2
direct
0.176 0.824 0.176
0.824 0.176 0.824
0.250 0.250 0.250
0.750 0.750 0.750
0.394 0.394 0.606
0.606 0.606 0.394
```

Output
- Formation energy from the elements: 0.466 eV per formula unit
- Energy: -6.142 eV per atom

Here is a relaxed structure of Ho3UGa12 from Alexandria via LeMat-Bulk. Energies are from PBE-GGA.

Cell and atoms, written as POSCAR:
```
Ho3UGa12
1.0
4.240 0.000 0.000
0.000 4.240 0.000
0.000 0.000 17.150
Ho U Ga
3 1 12
direct
0.000 0.000 0.000
0.000 0.000 0.250
0.000 0.000 0.750
0.000 0.000 0.500
0.000 0.500 0.125
0.000 0.500 0.375
0.000 0.500 0.625
0.000 0.500 0.875
0.500 0.000 0.125
0.500 0.000 0.375
0.500 0.000 0.625
0.500 0.000 0.875
0.500 0.500 0.000
0.500 0.500 0.250
0.500 0.500 0.500
0.500 0.500 0.750
```

Output
- Formation energy from the elements: -7.339 eV per formula unit
- Energy: -4.293 eV per atom

energy of number 5 (HoUGa)? -6.142 eV per atom

What is the formula in the fourth record? HoUGa6